Computed, not measured: a relaxed MgTl2CuI5 crystal at the PBE-GGA level of DFT.

Cell and atoms, written as POSCAR:
```
MgTl2CuI5
1.0
-2.244 3.516 1.415
-3.453 -0.982 -9.890
-10.875 -8.820 4.672
Mg Tl Cu I
2 4 2 10
direct
0.795 0.590 0.521 Mg
0.205 0.410 0.021 Mg
0.874 0.748 0.823 Tl
0.117 0.234 0.691 Tl
0.126 0.252 0.323 Tl
0.883 0.766 0.191 Tl
0.565 0.129 0.931 Cu
0.435 0.871 0.431 Cu
0.347 0.693 0.010 I
0.697 0.394 0.882 I
0.501 0.002 0.781 I
0.291 0.582 0.657 I
0.938 0.876 0.528 I
0.653 0.307 0.510 I
0.303 0.606 0.382 I
0.499 0.998 0.281 I
0.709 0.418 0.157 I
0.062 0.124 0.028 I
```

Properties
Space group: Cmc2_1

Computed, not measured: a relaxed AcThO4 crystal at the PBE-GGA level of DFT.

Cell and atoms, written as POSCAR:
```
AcThO4
1.0
4.094 0.000 0.000
2.047 3.540 0.205
2.047 0.793 6.735
Ac Th O
1 1 4
direct
0.500 0.500 0.500 Ac
0.000 0.000 0.000 Th
0.633 0.632 0.102 O
0.367 0.368 0.898 O
0.117 0.117 0.649 O
0.883 0.883 0.351 O
```

Properties
Space group: R-3m

Computed, not measured: a relaxed La3AuC crystal at the PBE-GGA level of DFT.

Cell and atoms, written as POSCAR:
```
La3AuC
1.0
6.494 -0.050 -0.008
2.167 7.134 0.096
2.176 1.142 6.013
C Au La
2 2 6
direct
0.776 0.448 0.406 C
0.276 0.448 0.906 C
0.434 0.831 0.058 Au
0.118 0.064 0.753 Au
0.595 0.186 0.714 La
0.958 0.709 0.097 La
0.089 0.187 0.224 La
0.464 0.708 0.587 La
0.016 0.492 0.649 La
0.536 0.403 0.163 La
```

Properties
Space group: P-1

Computed, not measured: a relaxed Tb3PmCo crystal at the PBE-GGA level of DFT.

Cell and atoms, written as POSCAR:
```
Tb3PmCo
1.0
6.704 -0.163 -2.683
-3.422 5.932 -2.292
0.193 0.114 7.174
Tb Pm Co
6 2 2
direct
0.841 0.047 0.295 Tb
0.248 0.454 0.295 Tb
0.752 0.546 0.705 Tb
0.706 0.453 0.159 Tb
0.159 0.953 0.705 Tb
0.294 0.547 0.841 Tb
0.710 0.047 0.758 Pm
0.290 0.953 0.242 Pm
0.633 0.748 0.381 Co
0.367 0.252 0.619 Co
```

Properties
Space group: C2/m

Computed, not measured: a relaxed MnCrCl2 crystal at the PBE-GGA level of DFT.

Cell and atoms, written as POSCAR:
```
MnCrCl2
1.0
3.236 0.000 0.000
0.000 4.730 0.000
0.000 0.000 4.730
Cr Mn Cl
1 1 2
direct
0.500 0.500 0.000 Cr
0.500 0.000 0.500 Mn
0.000 0.000 0.000 Cl
0.000 0.500 0.500 Cl
```

Properties
Space group: P4/mmm

Computed, not measured: a relaxed CsSrBr3 crystal at the PBE-GGA level of DFT.

Cell and atoms, written as POSCAR:
```
CsSrBr3
1.0
-3.328 -3.566 0.129
5.472 -5.172 -1.830
2.025 -1.508 10.319
Cs Sr Br
2 2 6
direct
0.750 0.250 0.134 Cs
0.250 0.750 0.866 Cs
0.250 0.250 0.602 Sr
0.750 0.750 0.398 Sr
0.750 0.506 0.639 Br
0.250 0.494 0.361 Br
0.750 0.994 0.639 Br
0.250 0.006 0.361 Br
0.250 0.250 0.889 Br
0.750 0.750 0.111 Br
```

Properties
Space group: Pmmn

Computed, not measured: a relaxed Zn2InCo crystal at the PBE-GGA level of DFT.

Cell and atoms, written as POSCAR:
```
Zn2InCo
1.0
-4.195 2.346 1.294
-3.414 0.342 -3.606
2.744 -3.672 1.940
Co In Zn
1 1 2
direct
0.250 0.750 0.500 Co
0.750 0.250 0.500 In
0.000 0.000 0.000 Zn
0.500 0.500 0.000 Zn
```

Properties
Space group: I4/mmm

Computed, not measured: a relaxed NdDy2Te3 crystal at the PBE-GGA level of DFT.

Cell and atoms, written as POSCAR:
```
NdDy2Te3
1.0
4.414 0.000 0.000
0.000 6.204 0.000
-2.207 -3.102 6.614
Nd Dy Te
1 2 3
direct
0.500 0.500 0.500 Nd
0.842 0.842 0.183 Dy
0.158 0.158 0.817 Dy
0.824 0.324 0.149 Te
0.176 0.676 0.851 Te
0.500 0.000 0.500 Te
```

Properties
Space group: Immm

Number 1: E_tot -2.67 eV/atom. Number 2: E_tot -8.49 eV/atom. Number 3: E_tot -5.78 eV/atom. Number 4: E_tot -5.24 eV/atom. Number 5: E_tot -5.46 eV/atom. Number 6: E_tot -3.51 eV/atom. Number 7: E_tot -3.01 eV/atom. Number 8: E_tot -5.23 eV/atom.